# 1
The following is a PBE-GGA calculation of a relaxed Ga2CoGeC crystal, from the Alexandria database.

Cell lengths 4.164, 4.208, 4.164 Å; angles 90.00, 90.00, 90.00 degrees
Fractional coordinates of all 5 atoms:
Ge (0.000, 0.500, 0.000)
Co (0.500, 0.500, 0.500)
C (0.000, 0.000, 0.000)
Ga (0.000, 0.000, 0.500)
Ga (0.500, 0.000, 0.000)

Properties
space-group type	P4/mmm, No. 123
volume	14.6	A^3/atom

# 2
The following is a PBE-GGA calculation of a relaxed FeNi crystal, from the Alexandria database.

Cell lengths 2.517, 2.517, 8.317 Å; angles 90.00, 90.00, 120.00 degrees
Fractional coordinates of all 4 atoms:
Ni (0.000, 0.000, 0.501)
Ni (0.667, 0.333, 0.749)
Fe (0.000, 0.000, 0.994)
Fe (0.667, 0.333, 0.256)

Properties
space-group type	P-3m1, No. 164
volume	11.4	A^3/atom

Sequential total DFT energy (no corrections) output: -4.3881, -7.0963 eV/atom